1.
A plane-wave DFT calculation with GGA-PBE was carried out for a relaxed Rb2PmI5 crystal.

The structure in POSCAR format:
```
Rb2PmI5
1.0
7.113 0.000 0.000
-2.902 8.247 0.000
-2.915 -2.549 7.841
Rb Pm I
2 1 5
Cartesian
0.000 0.000 0.000 Rb
4.205 2.235 4.358 Rb
0.572 4.826 1.608 Pm
-2.437 4.832 1.614 I
-1.263 0.597 7.141 I
0.645 2.164 3.221 I
-2.264 4.633 7.417 I
1.427 6.520 3.948 I
```

## Properties
Its space-group type is No. 1. The formation energy (no corrections) is -1.4198 eV/atom. For the energy above the most stable polymorph in this dataset, the calculation gives 53 meV/atom. The magnetic moment comes out at 0.0 Bohr magnetons per cell.

2.
A plane-wave DFT calculation with GGA-PBE was carried out for a relaxed Sr4LiPd crystal.

The structure in POSCAR format:
```
Sr4LiPd
1.0
5.116 -7.517 0.000
5.116 7.517 0.000
-3.483 0.000 6.241
Sr Li Pd
8 2 2
Cartesian
0.769 4.976 5.730 Sr
0.472 1.010 4.324 Sr
4.238 4.976 3.631 Sr
2.214 -1.010 1.204 Sr
4.536 1.010 5.037 Sr
2.511 -4.976 2.610 Sr
6.277 -1.010 1.916 Sr
5.980 -4.976 0.510 Sr
4.245 1.999 1.560 Li
2.504 -1.999 4.680 Li
4.245 -7.513 1.560 Pd
2.504 7.513 4.680 Pd
```

## Properties
Its space-group type is No. 15. The formation energy from the elements comes out at -115 kJ/mol of formula units. The magnetic moment comes out at 0.0 Bohr magnetons per cell.

3.
A plane-wave DFT calculation with GGA-PBE was carried out for a relaxed Ce2Mg2Si crystal.

The structure in POSCAR format:
```
Ce2Mg2Si
1.0
-1.949 1.949 8.885
1.949 -1.949 8.885
1.949 1.949 -8.885
Ce Mg Si
2 2 1
Cartesian
0.000 0.000 1.371 Ce
0.000 0.000 16.399 Ce
1.949 0.000 4.442 Mg
0.000 1.949 4.442 Mg
0.000 0.000 8.885 Si
```

## Properties
Its space-group type is No. 139. The formation energy (no corrections) is -0.0057 eV/atom. The magnetic moment comes out at 2.0 Bohr magnetons per cell.